--- 1 ---
This record from Alexandria describes an optimized crystal structure of Dy5Tm3Th3. The functional is GGA-PBE.

Unit cell a=11.1260 b=11.1260 c=3.4103 alpha=90.00 beta=90.00 gamma=120.00
Space group P-62m (No. 189)
Inequivalent atoms, fractional coordinates:
Dy 0.0000 0.8386 0.0000
Dy 0.3333 0.6667 0.0000
Tm 0.0000 0.5916 0.5000
Th 0.0000 0.3389 0.0000

***

--- 2 ---
This record from Alexandria describes an optimized crystal structure of Dy5Tm3Th3. The functional is GGA-PBE.

Unit cell a=11.1202 b=11.1202 c=3.4156 alpha=90.00 beta=90.00 gamma=120.00
Space group P-62m (No. 189)
Inequivalent atoms, fractional coordinates:
Dy 0.0000 0.6602 0.0000
Dy 0.3333 0.6667 0.0000
Tm 0.0000 0.1605 0.0000
Th 0.0000 0.4050 0.5000

***

Short version: 1 is the most stable of them.

***

--- 1 ---
This record from Alexandria describes an optimized crystal structure of DyYTmTh. The functional is GGA-PBE.

Unit cell a=3.5819 b=3.5819 c=34.1395 alpha=90.00 beta=90.00 gamma=120.00
Space group R3m (No. 160, hexagonal axes)
Inequivalent atoms, fractional coordinates:
Dy 0.0000 0.0000 0.0000
Y 0.0000 0.0000 0.8325
Tm 0.0000 0.0000 0.2503
Th 0.0000 0.0000 0.4153

***

--- 2 ---
This record from Alexandria describes an optimized crystal structure of DyYTmTh. The functional is GGA-PBE.

Unit cell a=7.995 b=7.995 c=7.995 alpha=90.00 beta=90.00 gamma=90.00
Space group F-43m (No. 216)
Inequivalent atoms, fractional coordinates:
Dy 0.000 0.000 0.000
Y 0.250 0.250 0.750
Tm 0.250 0.250 0.250
Th 0.000 0.000 0.500

***

Short version: 1 is the most stable of them.

***

--- 1 ---
This record from Alexandria describes an optimized crystal structure of Dy2Y2Th. The functional is GGA-PBE.

Unit cell a=5.455 b=16.817 c=6.991 alpha=90.00 beta=90.00 gamma=90.00
Space group Cmc2_1 (No. 36)
Inequivalent atoms, fractional coordinates:
Dy 0.000 0.108 0.000
Dy 0.000 0.300 0.750
Y 0.000 0.300 0.249
Y 0.000 0.499 0.750
Th 0.000 0.109 0.499

***

--- 2 ---
This record from Alexandria describes an optimized crystal structure of Dy2Y2Th. The functional is GGA-PBE.

Unit cell a=8.778 b=9.610 c=8.929 alpha=90.00 beta=118.65 gamma=90.00
Space group C2/m (No. 12)
Inequivalent atoms, fractional coordinates:
Dy 0.055 0.175 0.207
Y 0.159 0.500 0.916
Y 0.216 0.000 0.628
Th 0.000 0.335 0.500

***

Short version: 1 is the most stable of them.

***

--- 1 ---
This record from Alexandria describes an optimized crystal structure of Dy4Y7Th. The functional is GGA-PBE.

Unit cell a=6.222 b=7.192 c=8.871 alpha=90.00 beta=76.40 gamma=89.95
Space group P-1 (No. 2)
Inequivalent atoms, fractional coordinates:
Dy 0.223 0.000 0.338
Dy 0.275 0.749 0.668
Y 0.000 0.000 0.000
Y 0.219 0.500 0.332
Y 0.277 0.250 0.668
Y 0.500 0.254 0.001
Th 0.000 0.500 0.000

***

--- 2 ---
This record from Alexandria describes an optimized crystal structure of Dy4Y7Th. The functional is GGA-PBE.

Unit cell a=12.128 b=5.924 c=12.722 alpha=90.00 beta=118.26 gamma=90.00
Space group C2/m (No. 12)
Inequivalent atoms, fractional coordinates:
Dy 0.139 0.000 0.276
Dy 0.243 0.500 0.179
Y 0.000 0.000 0.500
Y 0.061 0.500 0.822
Y 0.133 0.000 0.001
Y 0.213 0.500 0.423
Th 0.000 0.500 0.500

***

Short version: 1 is the most stable of them.

***

--- 1 ---
This record from Alexandria describes an optimized crystal structure of Dy12Y6Th. The functional is GGA-PBE.

Unit cell a=13.3463 b=13.3463 c=12.2508 alpha=90.00 beta=90.00 gamma=120.00
Space group R-3m (No. 166, hexagonal axes)
Inequivalent atoms, fractional coordinates:
Dy 0.0000 0.2550 0.0000
Dy 0.0904 0.1808 0.7559
Y 0.0391 0.5196 0.1258
Th 0.0000 0.0000 0.5000

***

--- 2 ---
This record from Alexandria describes an optimized crystal structure of Dy12Y6Th. The functional is GGA-PBE.

Unit cell a=11.9627 b=11.9627 c=15.0392 alpha=90.00 beta=90.00 gamma=120.00
Space group R-3 (No. 148, hexagonal axes)
Inequivalent atoms, fractional coordinates:
Dy 0.0225 0.1800 0.1904
Dy 0.0426 0.1891 0.4153
Y 0.0104 0.5869 0.6783
Th 0.0000 0.0000 0.0000

***

Short version: 2 is the most stable of them.

***

--- 1 ---
This record from Alexandria describes an optimized crystal structure of Dy7Y3Th. The functional is GGA-PBE.

Unit cell a=7.0469 b=7.0469 c=8.6558 alpha=90.00 beta=90.00 gamma=120.00
Space group P3m1 (No. 156)
Inequivalent atoms, fractional coordinates:
Dy 0.0000 0.0000 0.0000
Dy 0.1654 0.3308 0.6688
Dy 0.5031 0.0062 0.9948
Y 0.3358 0.1679 0.3348
Th 0.6667 0.3333 0.6687

***

--- 2 ---
This record from Alexandria describes an optimized crystal structure of Dy7Y3Th. The functional is GGA-PBE.

Unit cell a=6.971 b=18.455 c=6.542 alpha=90.00 beta=121.48 gamma=90.00
Space group C2/m (No. 12)
Inequivalent atoms, fractional coordinates:
Dy 0.000 0.000 0.000
Dy 0.000 0.413 0.000
Dy 0.225 0.161 0.445
Y 0.000 0.000 0.500
Y 0.250 0.250 0.000
Th 0.000 0.500 0.500

***

Short version: 2 is the most stable of them.

***

--- 1 ---
This record from Alexandria describes an optimized crystal structure of Dy7YTh3. The functional is GGA-PBE.

Unit cell a=7.0716 b=7.0716 c=8.5328 alpha=90.00 beta=90.00 gamma=120.00
Space group P3m1 (No. 156)
Inequivalent atoms, fractional coordinates:
Dy 0.0000 0.0000 0.0000
Dy 0.1653 0.3307 0.3406
Dy 0.5011 0.0022 0.0025
Y 0.6667 0.3333 0.3435
Th 0.3331 0.1666 0.6723

***

--- 2 ---
This record from Alexandria describes an optimized crystal structure of Dy7YTh3. The functional is GGA-PBE.

Unit cell a=6.443 b=6.696 c=8.629 alpha=101.26 beta=97.30 gamma=96.74
Space group P-1 (No. 2)
Inequivalent atoms, fractional coordinates:
Dy 0.000 0.000 0.000
Dy 0.072 0.714 0.644
Dy 0.208 0.229 0.704
Dy 0.492 0.732 0.925
Y 0.000 0.500 0.000
Th 0.323 0.948 0.335
Th 0.500 0.500 0.500

***

Short version: 2 is the most stable of them.

***

--- 1 ---
This record from Alexandria describes an optimized crystal structure of Dy3Y8Th2. The functional is GGA-PBE.

Unit cell a=6.677 b=17.492 c=7.664 alpha=90.00 beta=106.34 gamma=90.00
Space group P2_1/c (No. 14)
Inequivalent atoms, fractional coordinates:
Dy 0.000 0.000 0.000
Dy 0.393 0.245 0.100
Y 0.140 0.113 0.327
Y 0.149 0.739 0.535
Y 0.368 0.582 0.866
Y 0.412 0.572 0.348
Th 0.158 0.111 0.751

***

--- 2 ---
This record from Alexandria describes an optimized crystal structure of Dy3Y8Th2. The functional is GGA-PBE.

Unit cell a=7.377 b=20.727 c=5.724 alpha=90.00 beta=90.00 gamma=90.00
Space group Cmmm (No. 65)
Inequivalent atoms, fractional coordinates:
Dy 0.000 0.000 0.000
Dy 0.228 0.500 0.500
Y 0.000 0.141 0.500
Y 0.000 0.330 0.500
Y 0.218 0.391 0.000
Th 0.000 0.245 0.000

***

Short version: 1 is the most stable of them.

***

--- 1 ---
This record from Alexandria describes an optimized crystal structure of Dy8Y3Th2. The functional is GGA-PBE.

Unit cell a=7.367 b=20.768 c=5.666 alpha=90.00 beta=90.00 gamma=90.00
Space group Cmmm (No. 65)
Inequivalent atoms, fractional coordinates:
Dy 0.000 0.140 0.000
Dy 0.000 0.333 0.000
Dy 0.217 0.391 0.500
Y 0.000 0.000 0.500
Y 0.226 0.500 0.000
Th 0.000 0.245 0.500

***

--- 2 ---
This record from Alexandria describes an optimized crystal structure of Dy8Y3Th2. The functional is GGA-PBE.

Unit cell a=6.979 b=8.353 c=15.378 alpha=88.74 beta=82.12 gamma=76.71
Space group P-1 (No. 2)
Inequivalent atoms, fractional coordinates:
Dy 0.039 0.322 0.062
Dy 0.096 0.791 0.363
Dy 0.176 0.700 0.133
Dy 0.218 0.208 0.443
Dy 0.262 0.867 0.574
Dy 0.297 0.077 0.224
Dy 0.345 0.307 0.856
Dy 0.450 0.427 0.284
Y 0.069 0.559 0.710
Y 0.200 0.945 0.800
Y 0.500 0.000 0.000
Y 0.500 0.500 0.500
Th 0.424 0.186 0.639
Th 0.487 0.647 0.929

***

Short version: 2 is the most stable of them.